Entry 1:
VASP calculation (PBE-GGA) on a relaxed structure of Li2FePd.

a b c (Å): 6.7853 6.7853 5.0542
angles (deg): 90.00 90.00 90.00
Space group I-42d (No. 122)
Asymmetric unit:
Li1 0.2436 0.2500 0.1250 (multiplicity 8)
Fe1 0.0000 0.0000 0.5000 (multiplicity 4)
Pd1 0.0000 0.0000 0.0000 (multiplicity 4)

Results
calculated total energy: -4.10 eV/atom
calculated formation energy: 0.2696 eV per atom

***

Entry 2:
VASP calculation (PBE-GGA) on a relaxed structure of LiFePd6.

a b c (Å): 7.2357 7.2357 9.1681
angles (deg): 90.00 90.00 120.00
Space group R-3m (No. 166, hexagonal axes)
Asymmetric unit:
Li1 0.0000 0.0000 0.0000 (multiplicity 3)
Fe1 0.0000 0.0000 0.5000 (multiplicity 3)
Pd1 0.0783 0.5391 0.3678 (multiplicity 18)

Results
calculated total energy: -4.90 eV/atom
ΔE to the lowest computed polymorph: 3.75 eV/f.u.
calculated formation energy: 0.2897 eV per atom

***

Entry 3:
VASP calculation (PBE-GGA) on a relaxed structure of Li2FePd6.

a b c (Å): 7.4338 4.5323 7.9457
angles (deg): 90.00 94.59 90.00
Space group C2/m (No. 12)
Asymmetric unit:
Li1 0.1637 0.0000 0.4366 (multiplicity 4)
Fe1 0.0000 0.5000 0.0000 (multiplicity 2)
Pd1 0.0063 0.5000 0.6702 (multiplicity 4)
Pd2 0.1638 0.0000 0.1068 (multiplicity 4)
Pd3 0.1722 0.0000 0.7640 (multiplicity 4)

Results
calculated total energy: -5.00 eV/atom
calculated formation energy: -0.1692 eV per atom

***

Entry 4:
VASP calculation (PBE-GGA) on a relaxed structure of Li2FePd.

a b c (Å): 5.9282 5.9282 5.9282
angles (deg): 90.00 90.00 90.00
Space group Fm-3m (No. 225)
Asymmetric unit:
Li1 0.2500 0.2500 0.2500 (multiplicity 8)
Fe1 0.0000 0.0000 0.0000 (multiplicity 4)
Pd1 0.0000 0.0000 0.5000 (multiplicity 4)

Results
calculated total energy: -4.28 eV/atom
calculated formation energy: 0.0869 eV per atom

***

Entry 5:
VASP calculation (PBE-GGA) on a relaxed structure of Li2FePd5.

a b c (Å): 6.4164 6.4164 10.8541
angles (deg): 90.00 90.00 90.00
Space group I4/mcm (No. 140)
Asymmetric unit:
Li1 0.1428 0.3572 0.0000 (multiplicity 8)
Fe1 0.0000 0.0000 0.2500 (multiplicity 4)
Pd1 0.0000 0.0000 0.0000 (multiplicity 4)
Pd2 0.1540 0.3460 0.3456 (multiplicity 16)

Results
calculated total energy: -4.99 eV/atom
ΔE to the lowest computed polymorph: 0.36 eV/f.u.
calculated formation energy: -0.2074 eV per atom

***

Entry 6:
VASP calculation (PBE-GGA) on a relaxed structure of LiFePd3.

a b c (Å): 4.8905 4.3859 6.9487
angles (deg): 90.00 108.08 90.00
Space group P2_1/m (No. 11)
Asymmetric unit:
Li1 0.0397 0.2500 0.3880 (multiplicity 2)
Fe1 0.4271 0.2500 0.1844 (multiplicity 2)
Pd1 0.1629 0.7500 0.0001 (multiplicity 2)
Pd2 0.2516 0.2500 0.7795 (multiplicity 2)
Pd3 0.3414 0.7500 0.4203 (multiplicity 2)

Results
calculated total energy: -5.39 eV/atom
ΔE to the lowest computed polymorph: 0.09 eV/f.u.
calculated formation energy: -0.1980 eV per atom

***

Entry 7:
VASP calculation (PBE-GGA) on a relaxed structure of LiFePd5.

a b c (Å): 5.1485 6.8260 6.7836
angles (deg): 90.00 90.00 90.00
Space group Imm2 (No. 44)
Asymmetric unit:
Li1 0.0000 0.0000 0.0000 (multiplicity 2)
Fe1 0.0000 0.5000 0.1269 (multiplicity 2)
Pd1 0.0000 0.0000 0.6674 (multiplicity 2)
Pd2 0.0000 0.3129 0.4476 (multiplicity 4)
Pd3 0.2437 0.5000 0.7946 (multiplicity 4)

Results
calculated total energy: -4.94 eV/atom
ΔE to the lowest computed polymorph: 2.43 eV/f.u.
calculated formation energy: 0.2488 eV per atom

***

Entry 8:
VASP calculation (PBE-GGA) on a relaxed structure of Li2FePd8.

a b c (Å): 12.9184 5.2405 4.8086
angles (deg): 90.00 91.80 90.00
Space group C2/m (No. 12)
Asymmetric unit:
Li1 0.2442 0.0000 0.1131 (multiplicity 4)
Fe1 0.0000 0.5000 0.5000 (multiplicity 2)
Pd1 0.0924 0.0000 0.3865 (multiplicity 4)
Pd2 0.0941 0.2498 0.8835 (multiplicity 8)
Pd3 0.1974 0.5000 0.3823 (multiplicity 4)

Results
calculated total energy: -4.97 eV/atom
ΔE to the lowest computed polymorph: 0.67 eV/f.u.
calculated formation energy: -0.0748 eV per atom

***

Entry 9:
VASP calculation (PBE-GGA) on a relaxed structure of Li3FePd.

a b c (Å): 4.5176 4.5176 4.5176
angles (deg): 90.00 90.00 90.00
Space group Pm-3m (No. 221)
Asymmetric unit:
Li1 0.0000 0.0000 0.5000 (multiplicity 3)
Fe1 0.0000 0.0000 0.0000 (multiplicity 1)
Pd1 0.5000 0.5000 0.5000 (multiplicity 1)

Results
calculated total energy: -3.09 eV/atom
calculated formation energy: 0.7929 eV per atom

***

Entry 10:
VASP calculation (PBE-GGA) on a relaxed structure of Li5FePd6.

a b c (Å): 13.4217 5.9822 4.2528
angles (deg): 90.00 108.36 90.00
Space group C2/m (No. 12)
Asymmetric unit:
Li1 0.0000 0.0000 0.0000 (multiplicity 2)
Li2 0.1649 0.5000 0.6641 (multiplicity 4)
Li3 0.1681 0.0000 0.6672 (multiplicity 4)
Fe1 0.0000 0.5000 0.0000 (multiplicity 2)
Pd1 0.0000 0.2501 0.5000 (multiplicity 4)
Pd2 0.1657 0.2497 0.1647 (multiplicity 8)

Results
calculated total energy: -4.47 eV/atom
calculated formation energy: -0.3745 eV per atom

***

Entry 11:
VASP calculation (PBE-GGA) on a relaxed structure of Li2FePd8.

a b c (Å): 4.0478 6.7714 11.8455
angles (deg): 90.00 90.00 90.00
Space group Immm (No. 71)
Asymmetric unit:
Li1 0.0000 0.0000 0.1989 (multiplicity 4)
Fe1 0.0000 0.0000 0.5000 (multiplicity 2)
Pd1 0.0000 0.1957 0.0000 (multiplicity 4)
Pd2 0.0000 0.2825 0.3434 (multiplicity 8)
Pd3 0.0000 0.5000 0.1470 (multiplicity 4)

Results
calculated total energy: -5.03 eV/atom
ΔE to the lowest computed polymorph: 0.00 eV/f.u.
calculated formation energy: -0.1354 eV per atom

***

Entry 12:
VASP calculation (PBE-GGA) on a relaxed structure of Li2Fe2Pd7.

a b c (Å): 5.3158 8.9716 7.0593
angles (deg): 90.00 90.00 90.00
Space group Cmmm (No. 65)
Asymmetric unit:
Li1 0.0000 0.2335 0.0000 (multiplicity 4)
Fe1 0.2333 0.5000 0.5000 (multiplicity 4)
Pd1 0.0000 0.0000 0.1939 (multiplicity 4)
Pd2 0.0000 0.5000 0.0000 (multiplicity 2)
Pd3 0.2500 0.2500 0.3089 (multiplicity 8)

Results
calculated total energy: -5.12 eV/atom
calculated formation energy: 0.0732 eV per atom